# LaCoPO2

A geometry-optimized LaCoPO2 structure (PBE+U, Alexandria via LeMat-Bulk).

Final energy: -5.515 eV per atom
Crystal system: tetragonal
N(E_F): 3.59 states/eV per cell
Size of the total moment: 3.6 Bohr magnetons per cell

```
LaCoPO2
1.0
-2.588 -0.314 -3.274
0.043 -4.169 0.366
-5.134 0.300 4.029
O La P Co
2 1 1 1
Direct
0.000 0.500 0.000
0.500 0.000 0.000
0.000 0.000 0.000
0.000 0.000 0.500
0.500 0.500 0.500
```